Version A
A plane-wave DFT calculation with PBE was carried out for RbErHg2 after structural relaxation.

a = 4.0913 Å, b = 4.0913 Å, c = 9.8327 Å
α = 77.99°, β = 77.99°, γ = 60.00°
With the nearest neighbours (Å) after each atom.
Fractional coordinates of all 4 atoms:
Hg: 0.7339 0.7339 0.7984  3 Er 3.05
Hg: 0.2661 0.2661 0.2016  3 Er 3.05
Er: 0.0000 0.0000 0.0000  6 Hg 3.05
Rb: 0.5000 0.5000 0.5000  6 Hg 3.70, 6 Rb 4.09

## Properties
Magnetic moment ... 0.00 μB per formula unit
V ... 34.591 A^3/atom



Version B
A plane-wave DFT calculation with PBE was carried out for RbErHg2 after structural relaxation.

a = 3.8308 Å, b = 3.8308 Å, c = 8.6018 Å
α = 90.00°, β = 90.00°, γ = 90.00°
With the nearest neighbours (Å) after each atom.
Fractional coordinates of all 4 atoms:
Er: 0.5000 0.5000 0.0000  8 Hg 3.16
Rb: 0.5000 0.5000 0.5000  8 Hg 3.80, 4 Rb 3.83
Hg: 0.0000 0.0000 0.8097  4 Er 3.16, 1 Hg 3.27
Hg: 0.0000 0.0000 0.1903  4 Er 3.16, 1 Hg 3.27

## Properties
Magnetic moment ... 0.00 μB per formula unit
V ... 31.558 A^3/atom



Of them, version A has the lowest stability.



Version A
A plane-wave DFT calculation with PBE was carried out for Er3Hg2Rh after structural relaxation.

a = 3.9209 Å, b = 8.7046 Å, c = 9.7500 Å
α = 90.00°, β = 101.60°, γ = 90.00°
With the nearest neighbours (Å) after each atom.
Fractional coordinates of all 12 atoms:
Er: 0.5963 0.9541 0.1926  1 Rh 2.58
Er: 0.1971 0.2500 0.3943  2 Rh 2.76, 2 Hg 3.07
Er: 0.4037 0.4541 0.8074  1 Rh 2.58
Er: 0.8029 0.7500 0.6057  2 Rh 2.76, 2 Hg 3.07
Er: 0.5963 0.5459 0.1926  1 Rh 2.58
Er: 0.4037 0.0459 0.8074  1 Rh 2.58
Hg: 0.0058 0.7500 0.0116  2 Rh 2.75
Hg: 0.1793 0.7500 0.3587  6 Er 3.07-3.08, 1 Hg 3.31
Hg: 0.8207 0.2500 0.6413  6 Er 3.07-3.08, 1 Hg 3.31
Hg: 0.9942 0.2500 0.9884  2 Rh 2.75
Rh: 0.5951 0.2500 0.1902  4 Er 2.58-2.76, 2 Hg 2.75
Rh: 0.4049 0.7500 0.8098  4 Er 2.58-2.76, 2 Hg 2.75

## Properties
Magnetic moment ... 0.00 μB per formula unit
V ... 27.164 A^3/atom



Version B
A plane-wave DFT calculation with PBE was carried out for Er3Hg2Rh after structural relaxation.

a = 5.0297 Å, b = 7.9325 Å, c = 7.3642 Å
α = 90.00°, β = 90.00°, γ = 71.38°
With the nearest neighbours (Å) after each atom.
Fractional coordinates of all 12 atoms:
Er: 0.1728 0.6537 0.7725  3 Rh 2.97-3.03, 5 Hg 3.10-3.29
Er: 0.5000 0.0000 0.7633  2 Rh 3.02, 6 Hg 3.06-3.18
Er: 0.5000 0.0000 0.2367  2 Rh 3.02, 6 Hg 3.06-3.18
Er: 0.8272 0.3463 0.2275  3 Rh 2.97-3.03, 5 Hg 3.10-3.29
Er: 0.1728 0.6537 0.2275  3 Rh 2.97-3.03, 5 Hg 3.10-3.29
Er: 0.8272 0.3463 0.7725  3 Rh 2.97-3.03, 5 Hg 3.10-3.29
Rh: 0.6634 0.6723 0.0000  8 Er 2.97-3.03
Rh: 0.3366 0.3277 0.0000  8 Er 2.97-3.03
Hg: 0.0000 0.0000 0.0000  8 Er 3.06-3.10
Hg: 0.0000 0.0000 0.5000  8 Er 3.18-3.29, 4 Hg 3.53-3.54
Hg: 0.6659 0.6694 0.5000  8 Er 3.15-3.22
Hg: 0.3341 0.3306 0.5000  8 Er 3.15-3.22

## Properties
Magnetic moment ... 0.00 μB per formula unit
V ... 23.203 A^3/atom



Of them, version A has the lowest stability.



Version A
A plane-wave DFT calculation with PBE was carried out for ErScHgRh after structural relaxation.

a = 4.8969 Å, b = 4.8969 Å, c = 4.8969 Å
α = 60.00°, β = 60.00°, γ = 60.00°
With the nearest neighbours (Å) after each atom.
Fractional coordinates of all 4 atoms:
Hg: 0.5000 0.5000 0.5000  4 Sc 3.00, 4 Er 3.00
Er: 0.7500 0.7500 0.7500  4 Hg 3.00, 4 Rh 3.00
Sc: 0.2500 0.2500 0.2500  4 Rh 3.00, 4 Hg 3.00
Rh: 0.0000 0.0000 0.0000  4 Er 3.00, 4 Sc 3.00

## Properties
Magnetic moment ... 0.00 μB per formula unit
V ... 20.758 A^3/atom



Version B
A plane-wave DFT calculation with PBE was carried out for ErScHgRh after structural relaxation.

a = 3.3861 Å, b = 3.3861 Å, c = 7.2697 Å
α = 90.00°, β = 90.00°, γ = 90.00°
With the nearest neighbours (Å) after each atom.
Fractional coordinates of all 4 atoms:
Hg: 0.0000 0.0000 0.0894  4 Sc 3.05, 4 Er 3.23, 1 Rh 3.38, 4 Hg 3.39
Rh: 0.0000 0.0000 0.5540  4 Sc 2.82, 4 Er 2.95
Er: 0.5000 0.5000 0.7911  4 Rh 2.95, 1 Sc 3.21, 4 Hg 3.23
Sc: 0.5000 0.5000 0.3502  4 Rh 2.82, 4 Hg 3.05

## Properties
Magnetic moment ... 0.00 μB per formula unit
V ... 20.838 A^3/atom



Of them, version A has the lowest stability.



Version A
A plane-wave DFT calculation with PBE was carried out for Er4HgRu after structural relaxation.

a = 6.6218 Å, b = 6.8400 Å, c = 7.5549 Å
α = 90.00°, β = 89.84°, γ = 90.00°
With the nearest neighbours (Å) after each atom.
Fractional coordinates of all 12 atoms:
Ru: 0.0000 0.5000 0.5000  6 Er 2.64-2.82
Ru: 0.5000 0.0000 0.5000  6 Er 2.64-2.82
Er: 0.6351 0.1464 0.8003  1 Ru 2.64
Er: 0.3399 0.3502 0.3625  2 Ru 2.68-2.82
Er: 0.1351 0.3536 0.8003  1 Ru 2.64
Er: 0.3649 0.8536 0.1997  1 Ru 2.64
Er: 0.1601 0.8502 0.6375  2 Ru 2.68-2.82
Er: 0.8399 0.1498 0.3625  2 Ru 2.68-2.82
Er: 0.6601 0.6498 0.6375  2 Ru 2.68-2.82
Er: 0.8649 0.6464 0.1997  1 Ru 2.64
Hg: 0.5000 0.5000 0.0000  6 Er 2.99-3.11
Hg: 0.0000 0.0000 0.0000  6 Er 2.99-3.11

## Properties
Magnetic moment ... 0.00 μB per formula unit
V ... 28.515 A^3/atom



Version B
A plane-wave DFT calculation with PBE was carried out for Er4HgRu after structural relaxation.

a = 6.1745 Å, b = 7.5604 Å, c = 7.5604 Å
α = 111.36°, β = 98.78°, γ = 98.78°
With the nearest neighbours (Å) after each atom.
Fractional coordinates of all 12 atoms:
Er: 0.9051 0.6356 0.7957  2 Ru 2.93-3.01, 2 Hg 3.16-3.22
Er: 0.5428 0.2747 0.9336  2 Ru 2.74-2.79
Er: 0.4051 0.7957 0.6356  2 Ru 2.93-3.01, 2 Hg 3.16-3.22
Er: 0.4572 0.7253 0.0664  2 Ru 2.74-2.79
Er: 0.5949 0.2043 0.3644  2 Ru 2.93-3.01, 2 Hg 3.16-3.22
Er: 0.9572 0.0664 0.7253  2 Ru 2.74-2.79
Er: 0.0428 0.9336 0.2747  2 Ru 2.74-2.79
Er: 0.0949 0.3644 0.2043  2 Ru 2.93-3.01, 2 Hg 3.16-3.22
Ru: 0.7500 0.0010 0.9990  8 Er 2.74-3.01
Ru: 0.2500 0.9990 0.0010  8 Er 2.74-3.01
Hg: 0.2500 0.3733 0.6267  8 Er 3.10-3.31
Hg: 0.7500 0.6267 0.3733  8 Er 3.10-3.31

## Properties
Magnetic moment ... 0.00 μB per formula unit
V ... 26.369 A^3/atom



Of them, version A has the lowest stability.